Entry from Alexandria: an optimized crystal structure of LaZrN2 (PBE).

Values from the calculation:
Raw formation energy ... -1.275 eV/atom
Raw total energy ... -8.806 eV/atom
ρ ... 5.75 g cm⁻³
DOS at the Fermi energy ... 1.155 states/eV/f.u.

Structure (CIF):
```
data_LaZrN2
_symmetry_space_group_name_H-M 'I -4 2 d'
_symmetry_Int_Tables_number 122
_symmetry_space_group_name_Hall 'I -4 2bw'
_cell_length_a 5.416
_cell_length_b 5.416
_cell_length_c 10.170
_cell_angle_alpha 90.00
_cell_angle_beta 90.00
_cell_angle_gamma 90.00
loop_
_atom_site_label
_atom_site_type_symbol
_atom_site_fract_x
_atom_site_fract_y
_atom_site_fract_z
La1 La 0.000 0.000 0.000
Zr1 Zr 0.000 0.000 0.500
N1 N 0.199 0.250 0.625
```

Entry from Alexandria: an optimized crystal structure of La2ZrN3 (PBE).

Values from the calculation:
Raw formation energy ... -1.324 eV/atom
Raw total energy ... -8.554 eV/atom
ρ ... 6.35 g cm⁻³
DOS at the Fermi energy ... 2.671 states/eV/f.u.

Structure (CIF):
```
data_La2ZrN3
_symmetry_space_group_name_H-M 'C 1 2/c 1'
_symmetry_Int_Tables_number 15
_cell_length_a 5.968
_cell_length_b 11.473
_cell_length_c 12.588
_cell_angle_alpha 90.00
_cell_angle_beta 93.81
_cell_angle_gamma 90.00
loop_
_symmetry_equiv_pos_as_xyz
'x,y,z'
'-x,-y,-z'
'-x,y,-z+1/2'
'x,-y,z+1/2'
'x+1/2,y+1/2,z'
'-x+1/2,-y+1/2,-z'
'-x+1/2,y+1/2,-z+1/2'
'x+1/2,-y+1/2,z+1/2'
loop_
_atom_site_label
_atom_site_type_symbol
_atom_site_fract_x
_atom_site_fract_y
_atom_site_fract_z
La1 La 0.220 0.122 0.422
La2 La 0.228 0.198 0.860
Zr1 Zr 0.213 0.498 0.834
N1 N 0.000 0.015 0.750
N2 N 0.000 0.365 0.750
N3 N 0.156 0.329 0.389
N4 N 0.189 0.110 0.040
```